First-principles (PBE) data for a relaxed structure of TaBiSe2Br, as listed in the Alexandria database.

a = 5.0903 Å, b = 5.0903 Å, c = 5.0810 Å
α = 90.00°, β = 90.00°, γ = 90.00°
Closest atoms and distances in Å follow each position.
Sites, in units of the cell vectors:
Ta 0.0000 0.0000 0.0000  2 Br 2.54, 4 Se 2.55
Bi 0.5000 0.5000 0.5000  8 Se 3.60, 4 Br 3.60
Se 0.0000 0.5000 0.0000  2 Ta 2.55
Se 0.5000 0.0000 0.0000  2 Ta 2.55
Br 0.0000 0.0000 0.5000  2 Ta 2.54

- uncorrected energy (eV/f.u.) = -24.336
- density (kg/m3) = 7918
- raw formation energy (kJ/mol of formula units) = 4

=====

First-principles (PBE) data for a relaxed structure of Tb5Pr3Nd2, as listed in the Alexandria database.

a = 12.5167 Å, b = 12.5167 Å, c = 12.5167 Å
α = 135.17°, β = 56.17°, γ = 147.95°
Closest atoms and distances in Å follow each position.
Sites, in units of the cell vectors:
Tb 0.0019 0.2500 0.7519  4 Tb 3.35-3.46, 2 Nd 3.38
Tb 0.1243 0.0892 0.2135  1 Nd 2.96, 1 Pr 3.22
Tb 0.2500 0.2500 0.0000  6 Tb 3.35-3.46
Tb 0.3757 0.5892 0.9649  1 Nd 2.96, 1 Pr 3.22
Tb 0.4981 0.2500 0.2481  4 Tb 3.35-3.46, 2 Nd 3.38
Tb 0.5019 0.7500 0.7519  4 Tb 3.35-3.46, 2 Nd 3.38
Tb 0.6243 0.4108 0.0351  1 Nd 2.96, 1 Pr 3.22
Tb 0.7500 0.7500 0.0000  6 Tb 3.35-3.46
Tb 0.8757 0.9108 0.7865  1 Nd 2.96, 1 Pr 3.22
Tb 0.9981 0.7500 0.2481  4 Tb 3.35-3.46, 2 Nd 3.38
Pr 0.1326 0.7522 0.8848  1 Tb 3.22, 1 Nd 3.37
Pr 0.2500 0.7500 0.5000  4 Nd 3.44, 2 Pr 3.46
Pr 0.3674 0.2522 0.6196  1 Tb 3.22, 1 Nd 3.37
Pr 0.6326 0.7478 0.3804  1 Tb 3.22, 1 Nd 3.37
Pr 0.7500 0.2500 0.5000  4 Nd 3.44, 2 Pr 3.46
Pr 0.8674 0.2478 0.1152  1 Tb 3.22, 1 Nd 3.37
Nd 0.1276 0.3990 0.5267  1 Tb 2.96
Nd 0.3724 0.8990 0.2714  1 Tb 2.96
Nd 0.6276 0.1010 0.7286  1 Tb 2.96
Nd 0.8724 0.6010 0.4733  1 Tb 2.96

- uncorrected energy (eV/f.u.) = -43.333
- density (kg/m3) = 6865
- energy of formation (meV per atom) = 369

=====

First-principles (PBE) data for a relaxed structure of BaRe2Br, as listed in the Alexandria database.

a = 6.0771 Å, b = 6.0771 Å, c = 6.0771 Å
α = 145.16°, β = 119.28°, γ = 71.96°
Closest atoms and distances in Å follow each position.
Sites, in units of the cell vectors:
Ba 0.0000 0.0000 0.0000  4 Br 3.34-3.73, 6 Re 3.43-3.57, 2 Ba 3.64
Re 0.5047 0.5047 0.0000  2 Re 2.35
Re 0.6558 0.1558 0.5000  2 Re 2.35
Br 0.2843 0.7843 0.5000  2 Re 2.83

- uncorrected energy (eV/f.u.) = -25.787
- density (kg/m3) = 8906
- raw formation energy (kJ/mol of formula units) = 261

=====

First-principles (PBE) data for a relaxed structure of Pr5Sm3Cd, as listed in the Alexandria database.

a = 7.0826 Å, b = 7.0826 Å, c = 15.1915 Å
α = 108.18°, β = 108.18°, γ = 68.90°
Closest atoms and distances in Å follow each position.
Sites, in units of the cell vectors:
Pr 0.0962 0.5402 0.7315  1 Cd 3.34, 1 Pr 3.56, 1 Sm 3.63
Pr 0.1711 0.8289 0.0000  1 Sm 2.63, 1 Pr 2.74
Pr 0.2113 0.2113 0.9053  1 Cd 3.03, 2 Sm 3.13-3.35
Pr 0.4598 0.9038 0.2685  1 Cd 3.34, 1 Pr 3.56, 1 Sm 3.63
Pr 0.4766 0.4766 0.3777  3 Sm 3.14-3.43
Pr 0.5234 0.5234 0.6223  3 Sm 3.14-3.43
Pr 0.5402 0.0962 0.7315  1 Cd 3.34, 1 Pr 3.56, 1 Sm 3.63
Pr 0.7887 0.7887 0.0947  1 Cd 3.03, 2 Sm 3.13-3.35
Pr 0.8289 0.1711 0.0000  1 Sm 2.63, 1 Pr 2.74
Pr 0.9038 0.4598 0.2685  1 Cd 3.34, 1 Pr 3.56, 1 Sm 3.63
Sm 0.0000 0.0000 0.5000  2 Cd 3.05, 2 Sm 3.13
Sm 0.2511 0.2511 0.4709  1 Sm 3.13, 2 Pr 3.14-3.43, 1 Cd 3.25
Sm 0.3353 0.3353 0.1436  2 Pr 3.31-3.35, 1 Sm 3.41
Sm 0.5000 0.5000 0.0000  2 Pr 2.63
Sm 0.6647 0.6647 0.8564  2 Pr 3.31-3.35, 1 Sm 3.41
Sm 0.7489 0.7489 0.5291  1 Sm 3.13, 2 Pr 3.14-3.43, 1 Cd 3.25
Cd 0.0161 0.0161 0.7051  3 Pr 3.03-3.34, 2 Sm 3.05-3.25
Cd 0.9839 0.9839 0.2949  3 Pr 3.03-3.34, 2 Sm 3.05-3.25

- uncorrected energy (eV/f.u.) = -36.022
- density (kg/m3) = 6399
- energy of formation (meV per atom) = 328